Here is U2V2O11 after structural relaxation from the Alexandria database. Energies are from PBE+U.

POSCAR file:
```
U2V2O11
1.0
6.199 0.000 0.000
0.000 13.215 0.000
-3.765 0.000 6.336
U V O
4 4 22
direct
0.159 0.177 0.328
0.159 0.323 0.828
0.841 0.677 0.172
0.841 0.823 0.672
0.212 0.070 0.854
0.212 0.430 0.354
0.788 0.570 0.646
0.788 0.930 0.146
0.035 0.012 0.261
0.035 0.488 0.761
0.171 0.702 0.308
0.171 0.798 0.808
0.177 0.157 0.014
0.177 0.343 0.514
0.203 0.154 0.669
0.203 0.346 0.169
0.484 0.145 0.459
0.484 0.355 0.959
0.500 0.000 0.000
0.500 0.500 0.500
0.516 0.645 0.041
0.516 0.855 0.541
0.797 0.654 0.831
0.797 0.846 0.331
0.823 0.657 0.486
0.823 0.843 0.986
0.829 0.202 0.192
0.829 0.298 0.692
0.965 0.512 0.239
0.965 0.988 0.739
```

Calculated values
Crystal system: monoclinic
E in eV/atom: -8.59
SG: P2_1/c